## LiHoZn4 (PBE)

Data for crystalline LiHoZn4 at its relaxed geometry.

POSCAR file:
```
LiHoZn4
1.0
4.381 0.000 0.000
-2.190 3.794 0.000
0.000 0.000 6.399
Li Ho Zn
1 1 4
direct
0.000 0.000 0.000 Li
0.000 0.000 0.500 Ho
0.333 0.667 0.216 Zn
0.333 0.667 0.784 Zn
0.667 0.333 0.216 Zn
0.667 0.333 0.784 Zn
```

crystal system = hexagonal
SG = P6/mmm
calculated volume = 106 Å³/cell
formation energy = -0.278 eV/atom
energy relative to the lowest polymorph listed for this composition = 0.000 eV per atom